Run one
The following is a DFT calculation (GGA-PBE) of a geometry-optimized TiBrN2F structure.

symmetry	P4/mmm, No. 123

abc: 4.085 4.085 3.897
angles: 90.00 90.00 90.00
Fractional coordinates of all 5 atoms:
Ti: 0.000 0.000 0.000
Br: 0.500 0.500 0.500
N: 0.000 0.500 0.000
N: 0.500 0.000 0.000
F: 0.000 0.000 0.500


Run two
The following is a DFT calculation (GGA-PBE) of a geometry-optimized TiBrN2F structure.

symmetry	P4/mmm, No. 123

abc: 4.063 4.063 4.056
angles: 90.00 90.00 90.00
Fractional coordinates of all 5 atoms:
Ti: 0.000 0.000 0.000
Br: 0.500 0.500 0.500
N: 0.000 0.500 0.500
N: 0.500 0.000 0.500
F: 0.500 0.500 0.000


Least stable: run two